The following is a DFT calculation (PBE) of Ho2ScTi after structural relaxation.

## Properties
ρ in g cm⁻³: 6.94
DOS(E_F) in states/eV/atom: 1.6053
Excess energy over the best structure of this formula in the dataset in meV/atom: 18.4
Raw total energy in eV/atom: -5.666
M_tot in μB per formula unit: 0.0

Lattice parameters (Å, degrees): 4.7278 4.7278 4.5220 90.00 90.00 90.00
Last column: nearest neighbours and their distance in Å.
Space group P4/mmm (No. 123)
Symmetry-distinct sites (fractional):
Ho  0.0000  0.5000  0.0000 [2 per cell]  4 Sc 3.27, 4 Ti 3.27, 4 Ho 3.34
Sc  0.0000  0.0000  0.5000 [1 per cell]  8 Ho 3.27, 4 Ti 3.34
Ti  0.5000  0.5000  0.5000 [1 per cell]  8 Ho 3.27, 4 Sc 3.34



The following is a DFT calculation (PBE) of HoSc2Ti after structural relaxation.

## Properties
ρ in g cm⁻³: 5.27
DOS(E_F) in states/eV/atom: 1.4158
Excess energy over the best structure of this formula in the dataset in meV/atom: 7.0
Raw total energy in eV/atom: -6.142
M_tot in μB per formula unit: 0.0

Lattice parameters (Å, degrees): 3.2363 3.2363 31.5283 90.00 90.00 120.00
Last column: nearest neighbours and their distance in Å.
Space group R-3m (No. 166, hexagonal axes)
Symmetry-distinct sites (fractional):
Ho  0.0000  0.0000  0.0000 [3 per cell]  6 Ho 3.24, 6 Sc 3.43
Sc  0.0000  0.0000  0.2420 [6 per cell]  3 Ti 3.02, 6 Sc 3.24
Ti  0.0000  0.0000  0.5000 [3 per cell]  6 Sc 3.02, 6 Ti 3.24



The following is a DFT calculation (PBE) of Ho2ScTi after structural relaxation.

## Properties
ρ in g cm⁻³: 6.89
DOS(E_F) in states/eV/atom: 1.6393
Excess energy over the best structure of this formula in the dataset in meV/atom: 0.0
Raw total energy in eV/atom: -5.685
M_tot in μB per formula unit: 0.0

Lattice parameters (Å, degrees): 3.3391 3.3391 9.1363 90.00 90.00 90.00
Last column: nearest neighbours and their distance in Å.
Space group P4/mmm (No. 123)
Symmetry-distinct sites (fractional):
Ho  0.0000  0.0000  0.2306 [2 per cell]  4 Ti 3.16, 4 Ho 3.34, 4 Sc 3.41
Sc  0.5000  0.5000  0.5000 [1 per cell]  4 Sc 3.34, 8 Ho 3.41
Ti  0.5000  0.5000  0.0000 [1 per cell]  8 Ho 3.16, 4 Ti 3.34



The following is a DFT calculation (PBE) of Ho2ScTi after structural relaxation.

## Properties
ρ in g cm⁻³: 6.86
DOS(E_F) in states/eV/atom: 1.8734
Excess energy over the best structure of this formula in the dataset in meV/atom: 32.2
Raw total energy in eV/atom: -5.653
M_tot in μB per formula unit: 0.3

Lattice parameters (Å, degrees): 3.3382 3.3382 31.8044 90.00 90.00 120.00
Last column: nearest neighbours and their distance in Å.
Space group R3m (No. 160, hexagonal axes)
Symmetry-distinct sites (fractional):
Ho  0.0000  0.0000  0.0000 [3 per cell]  3 Ti 3.16, 6 Ho 3.34, 3 Sc 3.40
Ho  0.0000  0.0000  0.1766 [3 per cell]  3 Ti 3.15, 6 Ho 3.34, 3 Sc 3.41
Sc  0.0000  0.0000  0.4216 [3 per cell]  6 Sc 3.34, 6 Ho 3.40-3.41
Ti  0.0000  0.0000  0.5881 [3 per cell]  6 Ho 3.15-3.16, 6 Ti 3.34



The following is a DFT calculation (PBE) of HoSc2Ti after structural relaxation.

## Properties
ρ in g cm⁻³: 5.14
DOS(E_F) in states/eV/atom: 1.7458
Excess energy over the best structure of this formula in the dataset in meV/atom: 4.9
Raw total energy in eV/atom: -6.145
M_tot in μB per formula unit: 1.8

Lattice parameters (Å, degrees): 3.5605 3.5605 7.7213 90.00 90.00 90.00
Last column: nearest neighbours and their distance in Å.
Space group P4/mmm (No. 123)
Symmetry-distinct sites (fractional):
Ho  0.0000  0.0000  0.0000 [1 per cell]  8 Sc 3.39, 4 Ho 3.56
Sc  0.5000  0.5000  0.2940 [2 per cell]  4 Ti 2.98, 1 Sc 3.18
Ti  0.0000  0.0000  0.5000 [1 per cell]  8 Sc 2.98



The following is a DFT calculation (PBE) of HoSc2Ti after structural relaxation.

## Properties
ρ in g cm⁻³: 5.26
DOS(E_F) in states/eV/atom: 1.7153
Excess energy over the best structure of this formula in the dataset in meV/atom: 0.0
Raw total energy in eV/atom: -6.149
M_tot in μB per formula unit: 0.0

Lattice parameters (Å, degrees): 3.2547 3.2547 31.2475 90.00 90.00 120.00
Last column: nearest neighbours and their distance in Å.
Space group R3m (No. 160, hexagonal axes)
Symmetry-distinct sites (fractional):
Ho  0.0000  0.0000  0.0000 [3 per cell]  6 Ho 3.25, 6 Sc 3.39-3.43
Sc  0.0000  0.0000  0.2430 [3 per cell]  3 Ti 3.00, 6 Sc 3.25
Sc  0.0000  0.0000  0.4252 [3 per cell]  3 Ti 3.03, 6 Sc 3.25
Ti  0.0000  0.0000  0.8347 [3 per cell]  6 Sc 3.00-3.03, 6 Ti 3.25



The following is a DFT calculation (PBE) of Ho2ScTi after structural relaxation.

## Properties
ρ in g cm⁻³: 6.79
DOS(E_F) in states/eV/atom: 2.0769
Excess energy over the best structure of this formula in the dataset in meV/atom: 52.9
Raw total energy in eV/atom: -5.632
M_tot in μB per formula unit: 2.7

Lattice parameters (Å, degrees): 7.4484 7.4484 7.4484 90.00 90.00 90.00
Last column: nearest neighbours and their distance in Å.
Space group Fm-3m (No. 225)
Symmetry-distinct sites (fractional):
Ho  0.2500  0.2500  0.2500 [8 per cell]  4 Ti 3.23, 4 Sc 3.23
Sc  0.0000  0.0000  0.0000 [4 per cell]  8 Ho 3.23
Ti  0.0000  0.0000  0.5000 [4 per cell]  8 Ho 3.23



The following is a DFT calculation (PBE) of HoSc2Ti after structural relaxation.

## Properties
ρ in g cm⁻³: 5.28
DOS(E_F) in states/eV/atom: 1.6021
Excess energy over the best structure of this formula in the dataset in meV/atom: 22.1
Raw total energy in eV/atom: -6.127
M_tot in μB per formula unit: 0.7

Lattice parameters (Å, degrees): 4.5413 4.5413 4.6193 90.00 90.00 90.00
Last column: nearest neighbours and their distance in Å.
Space group P4/mmm (No. 123)
Symmetry-distinct sites (fractional):
Ho  0.0000  0.0000  0.0000 [1 per cell]  4 Ti 3.21, 8 Sc 3.24
Sc  0.0000  0.5000  0.5000 [2 per cell]  4 Sc 3.21, 4 Ho 3.24, 4 Ti 3.24
Ti  0.5000  0.5000  0.0000 [1 per cell]  4 Ho 3.21, 8 Sc 3.24